Here is a geometry-optimized TbFe2 structure from Alexandria. Energies are from PBE.

Computed properties:
* ΔH_f (0 K): 774 meV per atom

Unit cell a=8.674 b=5.591 c=4.686 alpha=90.00 beta=106.62 gamma=90.00
Space group C2/m (No. 12)
Inequivalent atoms, fractional coordinates:
Tb: 0.181 0.000 0.018
Fe: 0.000 0.000 0.500
Fe: 0.000 0.500 0.000
Fe: 0.250 0.250 0.500

=====

Here is a geometry-optimized TbFe2 structure from Alexandria. Energies are from PBE.

Computed properties:
* ΔH_f (0 K): -60 meV per atom

Unit cell a=7.282 b=7.282 c=7.282 alpha=90.00 beta=90.00 gamma=90.00
Space group Fd-3m (No. 227, origin choice 2)
Inequivalent atoms, fractional coordinates:
Tb: 0.125 0.125 0.125
Fe: 0.000 0.000 0.500

=====

Here is a geometry-optimized Tb2FeTc structure from Alexandria. Energies are from PBE.

Computed properties:
* ΔH_f (0 K): 676 meV per atom

Unit cell a=3.2574 b=3.2574 c=29.1682 alpha=90.00 beta=90.00 gamma=120.00
Space group R-3m (No. 166, hexagonal axes)
Inequivalent atoms, fractional coordinates:
Tb: 0.0000 0.0000 0.0939
Fe: 0.0000 0.0000 0.0000
Tc: 0.0000 0.0000 0.5000

=====

Here is a geometry-optimized TbFe4Tc structure from Alexandria. Energies are from PBE.

Computed properties:
* ΔH_f (0 K): 116 meV per atom

Unit cell a=6.993 b=6.993 c=6.993 alpha=90.00 beta=90.00 gamma=90.00
Space group F-43m (No. 216)
Inequivalent atoms, fractional coordinates:
Tb: 0.000 0.000 0.000
Fe: 0.124 0.124 0.624
Tc: 0.250 0.250 0.250

=====

Here is a geometry-optimized Tb2Fe3Tc structure from Alexandria. Energies are from PBE.

Computed properties:
* ΔH_f (0 K): -51 meV per atom

Unit cell a=5.2220 b=5.2220 c=12.7370 alpha=90.00 beta=90.00 gamma=120.00
Space group R-3m (No. 166, hexagonal axes)
Inequivalent atoms, fractional coordinates:
Tb: 0.0000 0.0000 0.1255
Fe: 0.0000 0.5000 0.0000
Tc: 0.0000 0.0000 0.5000

=====

Here is a geometry-optimized TbThFeTc structure from Alexandria. Energies are from PBE.

Computed properties:
* ΔH_f (0 K): 72 meV per atom

Unit cell a=6.949 b=6.949 c=6.949 alpha=90.00 beta=90.00 gamma=90.00
Space group F-43m (No. 216)
Inequivalent atoms, fractional coordinates:
Tb: 0.000 0.000 0.000
Th: 0.000 0.000 0.500
Fe: 0.250 0.250 0.250
Tc: 0.250 0.250 0.750

=====

Here is a geometry-optimized Tb6Fe2Te structure from Alexandria. Energies are from PBE.

Computed properties:
* total DFT energy (no corrections): -5.572 eV per atom

Unit cell a=9.567 b=9.625 c=10.161 alpha=90.00 beta=90.00 gamma=90.00
Space group Immm (No. 71)
Inequivalent atoms, fractional coordinates:
Tb: 0.000 0.214 0.232
Tb: 0.192 0.500 0.186
Tb: 0.216 0.315 0.500
Fe: 0.000 0.384 0.000
Fe: 0.000 0.500 0.394
Te: 0.000 0.000 0.000
Te: 0.000 0.000 0.500

=====

Here is a geometry-optimized Tb2FeTe structure from Alexandria. Energies are from PBE.

Computed properties:
* total DFT energy (no corrections): -5.018 eV per atom

Unit cell a=3.8223 b=3.8223 c=27.5486 alpha=90.00 beta=90.00 gamma=120.00
Space group R-3m (No. 166, hexagonal axes)
Inequivalent atoms, fractional coordinates:
Tb: 0.0000 0.0000 0.0901
Fe: 0.0000 0.0000 0.0000
Te: 0.0000 0.0000 0.5000

=====

Number 1: DOS at the Fermi energy 1.322 states/eV per atom, magnetization 4.03 μB/f.u.. Number 2: DOS at the Fermi energy 1.333 states/eV per atom, magnetization 3.52 μB/f.u.. Number 3: DOS at the Fermi energy 1.018 states/eV per atom, magnetization 2.29 μB/f.u.. Number 4: DOS at the Fermi energy 1.192 states/eV per atom, magnetization 8.82 μB/f.u.. Number 5: DOS at the Fermi energy 1.345 states/eV per atom, magnetization 5.15 μB/f.u.. Number 6: DOS at the Fermi energy 1.658 states/eV per atom, magnetization 1.75 μB/f.u.. Number 7: DOS at the Fermi energy 0.794 states/eV per atom, magnetization 0.42 μB/f.u.. Number 8: DOS at the Fermi energy 0.432 states/eV per atom, magnetization 1.41 μB/f.u..